The following is a DFT calculation (GGA+U) of a relaxed KMg2V3Cu2O12 crystal.

Geometry as CIF:
```
data_KMg2V3Cu2O12
_chemical_formula_sum 'K2 Mg4 V6 Cu4 O24'
_cell_length_a 8.830
_cell_length_b 8.830
_cell_length_c 7.138
_cell_angle_alpha 74.57
_cell_angle_beta 74.57
_cell_angle_gamma 92.20
_space_group_name_H-M_alt 'P 1'
_space_group_IT_number 1
loop_
_space_group_symop_operation_xyz
'x,y,z'
loop_
_atom_site_label
_atom_site_type_symbol
_atom_site_fract_x
_atom_site_fract_y
_atom_site_fract_z
O1 O 0.279 0.498 0.330
O2 O 0.831 0.246 0.034
O3 O 0.271 0.511 0.768
O4 O 0.669 0.022 0.873
O5 O 0.489 0.729 0.732
O6 O 0.405 0.029 0.681
O7 O 0.729 0.489 0.232
O8 O 0.029 0.405 0.181
O9 O 0.971 0.595 0.819
O10 O 0.978 0.331 0.627
O11 O 0.177 0.180 0.890
O12 O 0.498 0.279 0.830
O13 O 0.823 0.820 0.110
O14 O 0.022 0.669 0.373
O15 O 0.721 0.502 0.670
O16 O 0.331 0.978 0.127
O17 O 0.754 0.169 0.466
O18 O 0.595 0.971 0.319
O19 O 0.511 0.271 0.268
O20 O 0.169 0.754 0.966
O21 O 0.180 0.177 0.390
O22 O 0.246 0.831 0.534
O23 O 0.820 0.823 0.610
O24 O 0.502 0.721 0.170
V1 V 0.356 0.112 0.883
V2 V 0.888 0.644 0.617
V3 V 0.112 0.356 0.383
V4 V 0.283 0.717 0.750
V5 V 0.644 0.888 0.117
V6 V 0.717 0.283 0.250
K1 K 0.006 0.994 0.750
K2 K 0.994 0.006 0.250
Mg1 Mg 0.947 0.628 0.121
Mg2 Mg 0.628 0.947 0.621
Mg3 Mg 0.053 0.372 0.879
Mg4 Mg 0.372 0.053 0.379
Cu1 Cu 0.505 0.495 0.250
Cu2 Cu 0.269 0.731 0.250
Cu3 Cu 0.731 0.269 0.750
Cu4 Cu 0.495 0.505 0.750
```

Computed properties:
DOS at the Fermi energy (states/eV/cell): 8.60
Space-group type: No. 15
Uncorrected energy (eV/atom): -6.5330